Record 1
Density functional theory data (PBE-GGA) for AcPaHg6 after structural relaxation.

Geometry as CIF:
```
data_AcPaHg6
_space_group_name_H-M_alt 'R -3 m'
_space_group_IT_number 166
_space_group_name_Hall '-R 3 2"'
_cell_length_a 6.0343
_cell_length_b 6.0343
_cell_length_c 25.5960
_cell_angle_alpha 90.00
_cell_angle_beta 90.00
_cell_angle_gamma 120.00
loop_
_atom_site_label
_atom_site_type_symbol
_atom_site_fract_x
_atom_site_fract_y
_atom_site_fract_z
Ac1 Ac 0.0000 0.0000 0.0000
Pa1 Pa 0.0000 0.0000 0.5000
Hg1 Hg 0.0062 0.5031 0.4406
```

Results
Formation enthalpy at 0 K: 172 meV/atom
Total magnetic moment: 0.21 μB/atom

Record 2
Density functional theory data (PBE-GGA) for PuHfSc after structural relaxation.

Geometry as CIF:
```
data_PuHfSc
_space_group_name_H-M_alt 'I 4 m m'
_space_group_IT_number 107
_space_group_name_Hall 'I 4 -2'
_cell_length_a 3.203
_cell_length_b 3.203
_cell_length_c 13.992
_cell_angle_alpha 90.00
_cell_angle_beta 90.00
_cell_angle_gamma 90.00
loop_
_atom_site_label
_atom_site_type_symbol
_atom_site_fract_x
_atom_site_fract_y
_atom_site_fract_z
Pu1 Pu 0.000 0.000 0.000
Hf1 Hf 0.000 0.000 0.663
Sc1 Sc 0.000 0.000 0.322
```

Results
Formation enthalpy at 0 K: 112 meV/atom
Total magnetic moment: 1.94 μB/atom
Energy above the most stable polymorph in this dataset: 0.000 eV per atom

Record 3
Density functional theory data (PBE-GGA) for Ba2AsS4 after structural relaxation.

Geometry as CIF:
```
data_Ba2AsS4
_space_group_name_H-M_alt 'P 1 21/m 1'
_space_group_IT_number 11
_space_group_name_Hall '-P 2yb'
_cell_length_a 6.731
_cell_length_b 6.781
_cell_length_c 9.330
_cell_angle_alpha 90.00
_cell_angle_beta 110.78
_cell_angle_gamma 90.00
loop_
_atom_site_label
_atom_site_type_symbol
_atom_site_fract_x
_atom_site_fract_y
_atom_site_fract_z
Ba1 Ba 0.217 0.250 0.426
Ba2 Ba 0.282 0.250 0.948
As1 As 0.277 0.750 0.203
S1 S 0.107 0.750 0.387
S2 S 0.151 0.750 0.924
S3 S 0.498 0.506 0.736
```

Results
Total magnetic moment: 0.00 μB/atom
Raw formation energy: -1.23 eV per atom

Record 4
Density functional theory data (PBE-GGA) for IrRh3Se after structural relaxation.

Geometry as CIF:
```
data_IrRh3Se
_space_group_name_H-M_alt 'P m -3 m'
_space_group_IT_number 221
_space_group_name_Hall '-P 4 2 3'
_cell_length_a 4.496
_cell_length_b 4.496
_cell_length_c 4.496
_cell_angle_alpha 90.00
_cell_angle_beta 90.00
_cell_angle_gamma 90.00
loop_
_atom_site_label
_atom_site_type_symbol
_atom_site_fract_x
_atom_site_fract_y
_atom_site_fract_z
Ir1 Ir 0.000 0.000 0.000
Rh1 Rh 0.000 0.500 0.500
Se1 Se 0.500 0.500 0.500
```

Results
Total magnetic moment: 0.41 μB/atom
Raw formation energy: 1.03 eV per atom
Energy above the most stable polymorph in this dataset: 0.000 eV per atom

Record 5
Density functional theory data (PBE-GGA) for RbMn2Ir2 after structural relaxation.

Geometry as CIF:
```
data_RbMn2Ir2
_space_group_name_H-M_alt 'I 4/m m m'
_space_group_IT_number 139
_space_group_name_Hall '-I 4 2'
_cell_length_a 4.266
_cell_length_b 4.266
_cell_length_c 11.829
_cell_angle_alpha 90.00
_cell_angle_beta 90.00
_cell_angle_gamma 90.00
loop_
_atom_site_label
_atom_site_type_symbol
_atom_site_fract_x
_atom_site_fract_y
_atom_site_fract_z
Rb1 Rb 0.000 0.000 0.000
Mn1 Mn 0.000 0.000 0.335
Ir1 Ir 0.000 0.500 0.250
```

Results
Formation enthalpy at 0 K: 781 meV/atom
Total magnetic moment: 0.00 μB/atom
Energy above the most stable polymorph in this dataset: 0.330 eV per atom

Record 6
Density functional theory data (PBE-GGA) for Ta2TcRu after structural relaxation.

Geometry as CIF:
```
data_Ta2TcRu
_space_group_name_H-M_alt 'C m m 2'
_space_group_IT_number 35
_space_group_name_Hall 'C 2 -2'
_cell_length_a 3.238
_cell_length_b 4.590
_cell_length_c 8.777
_cell_angle_alpha 90.00
_cell_angle_beta 90.00
_cell_angle_gamma 90.00
loop_
_atom_site_label
_atom_site_type_symbol
_atom_site_fract_x
_atom_site_fract_y
_atom_site_fract_z
Ta1 Ta 0.000 0.000 0.000
Ta2 Ta 0.000 0.500 0.272
Tc1 Tc 0.000 0.000 0.517
Ru1 Ru 0.000 0.500 0.758
```

Results
Formation enthalpy at 0 K: 29 meV/atom
Total magnetic moment: 0.12 μB/atom